[1]
The following is a DFT calculation (GGA-PBE) of a relaxed structure of Pm2AlIr2. Values from VASP.

Structure (Quantum ESPRESSO input):
```
&SYSTEM
  ibrav = 0, nat = 5, ntyp = 3
/
ATOMIC_SPECIES
Pm 145.00 Pm.upf
Ir 192.22 Ir.upf
Al 26.98 Al.upf
ATOMIC_POSITIONS crystal
Pm 0.302 0.802 0.500
Pm 0.698 0.198 0.500
Ir 0.258 0.500 0.758
Al 0.000 0.000 0.000
Ir 0.742 0.500 0.242
CELL_PARAMETERS angstrom
-0.961 -4.067 3.883
4.179 0.962 3.762
-4.503 2.807 -2.095
```



[2]
The following is a DFT calculation (GGA-PBE) of a relaxed structure of ScFeNiPb. Values from VASP.

Structure (Quantum ESPRESSO input):
```
&SYSTEM
  ibrav = 0, nat = 4, ntyp = 4
/
ATOMIC_SPECIES
Sc 44.96 Sc.upf
Fe 55.84 Fe.upf
Pb 207.20 Pb.upf
Ni 58.69 Ni.upf
ATOMIC_POSITIONS crystal
Sc 0.250 0.250 0.250
Fe 0.750 0.750 0.750
Pb 0.000 0.000 0.000
Ni 0.500 0.500 0.500
CELL_PARAMETERS angstrom
0.000 3.202 3.202
3.202 0.000 3.202
3.202 3.202 0.000
```

Summary:
Energy relative to the lowest polymorph listed for this composition in eV/f.u.: 0.702



[3]
The following is a DFT calculation (GGA-PBE) of a relaxed structure of Pm2CdAu2. Values from VASP.

Structure (Quantum ESPRESSO input):
```
&SYSTEM
  ibrav = 0, nat = 10, ntyp = 3
/
ATOMIC_SPECIES
Au 196.97 Au.upf
Pm 145.00 Pm.upf
Cd 112.41 Cd.upf
ATOMIC_POSITIONS crystal
Au 0.371 0.871 0.000
Au 0.871 0.629 0.000
Pm 0.671 0.829 0.500
Au 0.129 0.371 0.000
Cd 0.000 0.000 0.000
Pm 0.171 0.671 0.500
Pm 0.829 0.329 0.500
Pm 0.329 0.171 0.500
Au 0.629 0.129 0.000
Cd 0.500 0.500 0.000
CELL_PARAMETERS angstrom
-1.246 5.389 5.878
-7.959 -0.468 -1.259
-0.240 -2.875 2.584
```

Summary:
Energy of formation from the pure elements in eV/f.u.: -3.675



[4]
The following is a DFT calculation (GGA-PBE) of a relaxed structure of NdMgAuSe3. Values from VASP.

Structure (Quantum ESPRESSO input):
```
&SYSTEM
  ibrav = 0, nat = 12, ntyp = 4
/
ATOMIC_SPECIES
Nd 144.24 Nd.upf
Mg 24.30 Mg.upf
Se 78.96 Se.upf
Au 196.97 Au.upf
ATOMIC_POSITIONS crystal
Nd 0.000 0.250 0.000
Mg 0.776 0.500 0.551
Se 0.885 0.000 0.770
Mg 0.224 0.000 0.449
Se 0.656 0.176 0.312
Se 0.656 0.824 0.312
Nd 0.000 0.750 0.000
Au 0.477 0.500 0.954
Au 0.523 0.000 0.046
Se 0.344 0.676 0.688
Se 0.115 0.500 0.230
Se 0.344 0.324 0.688
CELL_PARAMETERS angstrom
3.920 0.000 0.000
0.000 10.851 0.000
-1.960 0.000 6.700
```



[5]
The following is a DFT calculation (GGA-PBE) of a relaxed structure of RbHfNb. Values from VASP.

Structure (Quantum ESPRESSO input):
```
&SYSTEM
  ibrav = 0, nat = 3, ntyp = 3
/
ATOMIC_SPECIES
Rb 85.47 Rb.upf
Nb 92.91 Nb.upf
Hf 178.49 Hf.upf
ATOMIC_POSITIONS crystal
Rb 0.000 0.000 0.000
Nb 0.750 0.750 0.750
Hf 0.250 0.250 0.250
CELL_PARAMETERS angstrom
0.000 3.467 3.467
3.467 0.000 3.467
3.467 3.467 0.000
```

Summary:
Energy relative to the lowest polymorph listed for this composition in eV/f.u.: 1.872



[6]
The following is a DFT calculation (GGA-PBE) of a relaxed structure of Lu4InB3. Values from VASP.

Structure (Quantum ESPRESSO input):
```
&SYSTEM
  ibrav = 0, nat = 16, ntyp = 3
/
ATOMIC_SPECIES
B 10.81 B.upf
Lu 174.97 Lu.upf
In 114.82 In.upf
ATOMIC_POSITIONS crystal
B 0.000 0.000 0.500
Lu 0.000 0.000 0.338
Lu 0.333 0.667 0.055
Lu 0.667 0.333 0.945
Lu 0.000 0.000 0.662
Lu 0.000 0.000 0.162
B 0.000 0.000 0.000
Lu 0.333 0.667 0.445
In 0.667 0.333 0.750
Lu 0.000 0.000 0.838
B 0.667 0.333 0.112
B 0.333 0.667 0.612
B 0.667 0.333 0.388
Lu 0.667 0.333 0.555
B 0.333 0.667 0.888
In 0.333 0.667 0.250
CELL_PARAMETERS angstrom
3.482 0.000 0.000
-1.741 3.016 0.000
0.000 0.000 30.154
```



Calculated magnetization (μB/atom), listed in the same order as above: 0.0009, 0.6224, 0.0011, 0.0005, 0.7430, 0.0004
Calculated mass density (g cm⁻³), listed in the same order as above: 10.8, 9.3, 10.5, 7.0, 7.1, 8.9
Calculated VASP energy (eV per atom), listed in the same order as above: -7.0121, -5.8537, -4.1188, -4.3901, -4.3046, -5.0786